--- one ---
Density functional theory data (PBE+U) for a geometry-optimized CoPdSeO structure.

Unit cell a=6.5403 b=6.5403 c=5.5609 alpha=90.00 beta=90.00 gamma=32.10
Last column: nearest neighbours and their distance in Å.
Element x y z (fractional)
Co 0.9421 0.9421 0.3597  2 O 1.87-1.92
Co 0.0579 0.0579 0.8597  2 O 1.87-1.92
O 0.9262 0.9262 0.0167  2 Co 1.87-1.92
O 0.0738 0.0738 0.5167  2 Co 1.87-1.92
Pd 0.6799 0.6799 0.4969  2 O 2.25
Pd 0.3201 0.3201 0.9969  2 O 2.25
Se 0.6757 0.6757 0.0193  2 Co 2.50, 3 Pd 2.57-2.66
Se 0.3243 0.3243 0.5193  2 Co 2.50, 3 Pd 2.57-2.66

Properties
- Space-group type: Cmc2_1 (36)
- V: 126.4 Å³ per cell

---

--- two ---
Density functional theory data (PBE+U) for a geometry-optimized CoPdSeO structure.

Unit cell a=6.6670 b=6.6670 c=6.0813 alpha=90.00 beta=90.00 gamma=153.24
Last column: nearest neighbours and their distance in Å.
Element x y z (fractional)
Co 0.8161 0.1840 0.4622  2 O 1.94
Co 0.1840 0.8161 0.9622  2 O 1.94
O 0.6043 0.3957 0.0564  2 Co 1.94, 2 Pd 2.04-2.05
O 0.3957 0.6043 0.5564  2 Co 1.94, 2 Pd 2.04-2.05
Pd 0.5134 0.4866 0.3310  2 O 2.04-2.05
Pd 0.4866 0.5134 0.8310  2 O 2.04-2.05
Se 0.8411 0.1589 0.0430  3 Co 2.57-2.60, 2 Pd 2.76
Se 0.1589 0.8411 0.5430  3 Co 2.57-2.60, 2 Pd 2.76

Properties
- Space-group type: Cmc2_1 (36)
- V: 121.7 Å³ per cell

---

Most stable structure: one